# 1
Zr2RePb, optimized geometry, DFT PBE; volume = 21.90 Å³ per atom; formation energy from the elements = 0.02 eV/atom; DFT total energy = -8.290 eV per atom
1.0
1.6636 0.9605 9.1353
-1.6636 0.9605 9.1353
0.0000 -1.9210 9.1353
Zr Re Pb
2 1 1
Cartesian
0.0000 0.0000 6.5422
0.0000 0.0000 20.8638
0.0000 0.0000 13.7030
0.0000 0.0000 0.0000

# 2
ZrRePb2, optimized geometry, DFT PBE; volume = 21.93 Å³ per atom; excess energy over the best structure of this formula in the dataset = 364.9 meV/atom; formation energy from the elements = 0.57 eV/atom; DFT total energy = -6.537 eV per atom
1.0
3.6406 0.0000 0.0000
0.0000 4.7121 0.0000
0.0000 0.0000 5.1135
Zr Re Pb
1 1 2
Cartesian
0.0000 0.0000 0.0000
1.8203 0.0000 2.5568
0.0000 2.3561 2.5568
1.8203 2.3561 0.0000

# 3
ZrRePb2, optimized geometry, DFT PBE; volume = 21.75 Å³ per atom; excess energy over the best structure of this formula in the dataset = 429.2 meV/atom; formation energy from the elements = 0.63 eV/atom; DFT total energy = -6.473 eV per atom
1.0
4.4356 0.0000 0.0000
0.0000 4.4356 0.0000
0.0000 0.0000 4.4227
Zr Re Pb
1 1 2
Cartesian
0.0000 0.0000 0.0000
2.2178 2.2178 0.0000
0.0000 2.2178 2.2114
2.2178 0.0000 2.2114

# 4
Zr2RePb, optimized geometry, DFT PBE; volume = 20.63 Å³ per atom; formation energy from the elements = 0.13 eV/atom; DFT total energy = -8.181 eV per atom
1.0
-2.0776 2.0776 4.7794
2.0776 -2.0776 4.7794
2.0776 2.0776 -4.7794
Zr Re Pb
2 1 1
Cartesian
0.0000 0.0000 0.0000
0.0000 2.0776 2.3897
0.0000 0.0000 4.7794
2.0776 0.0000 2.3897

# 5
Zr2RePb, optimized geometry, DFT PBE; volume = 22.68 Å³ per atom; formation energy from the elements = 0.17 eV/atom; DFT total energy = -8.141 eV per atom
1.0
4.2127 -1.6390 0.0000
4.2127 1.6390 0.0000
-1.0199 0.0000 6.5698
Zr Re Pb
2 1 1
Cartesian
1.8260 0.0000 1.3446
5.5796 0.0000 5.2252
4.2127 0.0000 0.0000
-0.5100 0.0000 3.2849

# 6
ZrRePb2, optimized geometry, DFT PBE; volume = 22.03 Å³ per atom; excess energy over the best structure of this formula in the dataset = 346.8 meV/atom; formation energy from the elements = 0.55 eV/atom; DFT total energy = -6.555 eV per atom
1.0
4.8985 -1.7646 0.0000
4.8985 1.7646 0.0000
-0.8668 0.0000 5.0976
Zr Re Pb
1 1 2
Cartesian
0.0000 0.0000 0.0000
4.4650 0.0000 2.5488
1.7148 0.0000 3.7484
7.2153 0.0000 1.3492

# 7
ZrRePb2, optimized geometry, DFT PBE; volume = 22.32 Å³ per atom; excess energy over the best structure of this formula in the dataset = 469.6 meV/atom; formation energy from the elements = 0.67 eV/atom; DFT total energy = -6.432 eV per atom
1.0
1.6885 -2.7738 0.0000
1.6885 2.7738 0.0000
0.0000 0.0000 9.5328
Zr Re Pb
1 1 2
Cartesian
0.0000 0.0000 0.0000
0.0000 0.0000 4.7664
1.6885 0.0000 2.5432
1.6885 0.0000 6.9896

# 8
ZrRe2Pb, optimized geometry, DFT PBE; volume = 19.63 Å³ per atom; formation energy from the elements = 0.48 eV/atom; DFT total energy = -8.804 eV per atom
1.0
3.0325 0.0000 0.0000
0.0000 4.7139 0.0000
-0.2230 0.0000 5.4939
Zr Re Pb
1 2 1
Cartesian
0.0000 0.0000 0.0000
0.9221 2.3570 4.3525
1.8875 2.3570 1.1413
1.4048 0.0000 2.7469

# 9
ZrRePb2, optimized geometry, DFT PBE; volume = 23.69 Å³ per atom; excess energy over the best structure of this formula in the dataset = 539.8 meV/atom; formation energy from the elements = 0.74 eV/atom; DFT total energy = -6.362 eV per atom
1.0
-2.1169 2.1169 10.5715
2.1169 -2.1169 10.5715
2.1169 2.1169 -10.5715
Zr Re Pb
2 2 4
Cartesian
0.0000 0.0000 0.0000
0.0000 2.1169 5.2857
2.1169 0.0000 5.2857
0.0000 0.0000 10.5715
1.0584 -1.0412 7.9286
1.0756 1.0584 2.6429
1.0584 3.1581 -2.6429
1.0412 1.0584 13.2143

# 10
ZrRePb, optimized geometry, DFT PBE; volume = 20.66 Å³ per atom; excess energy over the best structure of this formula in the dataset = 0.0 meV/atom; formation energy from the elements = 0.28 eV/atom; DFT total energy = -7.951 eV per atom
1.0
-1.7133 1.7133 5.2797
1.7133 -1.7133 5.2797
1.7133 1.7133 -5.2797
Zr Re Pb
1 1 1
Cartesian
0.0000 0.0000 0.0000
0.0000 0.0000 6.7393
0.0000 0.0000 3.1659

# 11
ZrRePb2, optimized geometry, DFT PBE; volume = 22.93 Å³ per atom; excess energy over the best structure of this formula in the dataset = 239.1 meV/atom; formation energy from the elements = 0.44 eV/atom; DFT total energy = -6.663 eV per atom
1.0
5.3753 -1.7144 0.0000
5.3753 1.7144 0.0000
-1.9506 0.0000 4.9769
Zr Re Pb
1 1 2
Cartesian
0.0000 0.0000 0.0000
6.9002 0.0000 1.3761
0.9054 0.0000 3.9611
3.9206 0.0000 2.2196

# 12
ZrRePb2, optimized geometry, DFT PBE; volume = 21.11 Å³ per atom; excess energy over the best structure of this formula in the dataset = 354.3 meV/atom; formation energy from the elements = 0.56 eV/atom; DFT total energy = -6.548 eV per atom
1.0
0.0000 3.4820 3.4820
3.4820 0.0000 3.4820
3.4820 3.4820 0.0000
Zr Re Pb
1 1 2
Cartesian
0.0000 0.0000 0.0000
3.4820 3.4820 3.4820
1.7410 1.7410 1.7410
5.2230 5.2230 5.2230

# 13
ZrRe2Pb, optimized geometry, DFT PBE; volume = 18.38 Å³ per atom; formation energy from the elements = 0.53 eV/atom; DFT total energy = -8.758 eV per atom
1.0
-2.0491 2.0491 4.3783
2.0491 -2.0491 4.3783
2.0491 2.0491 -4.3783
Zr Re Pb
1 2 1
Cartesian
0.0000 0.0000 0.0000
0.0000 0.0000 4.3783
0.0000 2.0491 2.1891
2.0491 0.0000 2.1891

# 14
ZrRePb2, optimized geometry, DFT PBE; volume = 24.77 Å³ per atom; excess energy over the best structure of this formula in the dataset = 0.0 meV/atom; formation energy from the elements = 0.20 eV/atom; DFT total energy = -6.902 eV per atom
1.0
3.3982 0.0000 0.0000
0.0000 3.4440 0.0000
-0.7682 0.0000 8.4642
Zr Re Pb
1 1 2
Cartesian
0.0000 0.0000 0.0000
0.9293 1.7220 7.1225
1.6873 1.7220 2.1401
2.6741 0.0000 5.2279

# 15
ZrRePb2, optimized geometry, DFT PBE; volume = 24.42 Å³ per atom; excess energy over the best structure of this formula in the dataset = 109.2 meV/atom; formation energy from the elements = 0.31 eV/atom; DFT total energy = -6.793 eV per atom
1.0
1.8118 -2.5908 0.0000
1.8118 2.5908 0.0000
0.0000 0.0000 10.4056
Zr Re Pb
1 1 2
Cartesian
0.0000 0.0000 0.0000
1.8118 0.0000 8.4612
0.0000 0.0000 6.1537
1.8118 0.0000 2.7205

# 16
ZrRePb, optimized geometry, DFT PBE; volume = 24.21 Å³ per atom; excess energy over the best structure of this formula in the dataset = 658.1 meV/atom; formation energy from the elements = 0.94 eV/atom; DFT total energy = -7.293 eV per atom
1.0
0.0000 3.3116 3.3116
3.3116 0.0000 3.3116
3.3116 3.3116 0.0000
Zr Re Pb
1 1 1
Cartesian
0.0000 0.0000 0.0000
1.6558 1.6558 1.6558
4.9674 4.9674 4.9674

# 17
ZrRePb2, optimized geometry, DFT PBE; volume = 21.64 Å³ per atom; excess energy over the best structure of this formula in the dataset = 379.2 meV/atom; formation energy from the elements = 0.58 eV/atom; DFT total energy = -6.523 eV per atom
1.0
-2.1643 2.1643 4.6203
2.1643 -2.1643 4.6203
2.1643 2.1643 -4.6203
Zr Re Pb
1 1 2
Cartesian
0.0000 0.0000 0.0000
0.0000 2.1643 2.3102
2.1643 0.0000 2.3102
0.0000 0.0000 4.6203

# 18
ZrRe2Pb, optimized geometry, DFT PBE; volume = 19.23 Å³ per atom; formation energy from the elements = 0.71 eV/atom; DFT total energy = -8.581 eV per atom
1.0
1.5848 0.9150 8.8399
-1.5848 0.9150 8.8399
0.0000 -1.8300 8.8399
Zr Re Pb
1 2 1
Cartesian
0.0000 0.0000 0.0000
0.0000 0.0000 6.7119
0.0000 0.0000 19.8079
0.0000 0.0000 13.2599

# 19
Zr2RePb, optimized geometry, DFT PBE; volume = 21.36 Å³ per atom; formation energy from the elements = 0.01 eV/atom; DFT total energy = -8.308 eV per atom
1.0
3.3566 0.0000 0.0000
0.0000 4.6154 0.0000
-1.2626 0.0000 5.5141
Zr Re Pb
2 1 1
Cartesian
0.0000 0.0000 0.0000
-0.0047 2.3077 3.5251
1.5693 0.0000 2.9488
1.6781 2.3077 1.0199

# 20
Zr3RePb, optimized geometry, DFT PBE; volume = 26.46 Å³ per atom; excess energy over the best structure of this formula in the dataset = 0.0 meV/atom; formation energy from the elements = 0.41 eV/atom; DFT total energy = -7.950 eV per atom
1.0
5.0956 0.0000 0.0000
0.0000 5.0956 0.0000
0.0000 0.0000 5.0956
Zr Re Pb
3 1 1
Cartesian
0.0000 0.0000 2.5478
0.0000 2.5478 0.0000
2.5478 0.0000 0.0000
0.0000 0.0000 0.0000
2.5478 2.5478 2.5478

# 21
ZrRe2Pb, optimized geometry, DFT PBE; volume = 19.92 Å³ per atom; formation energy from the elements = 0.35 eV/atom; DFT total energy = -8.941 eV per atom
1.0
2.9992 0.0000 0.0000
0.0000 3.9205 0.0000
-0.1160 0.0000 6.7748
Zr Re Pb
1 2 1
Cartesian
0.0000 0.0000 0.0000
0.0109 0.0000 2.6963
1.3154 1.9603 1.6817
1.4177 1.9603 4.6870

# 22
Zr2RePb, optimized geometry, DFT PBE; volume = 22.86 Å³ per atom; formation energy from the elements = 0.43 eV/atom; DFT total energy = -7.885 eV per atom
1.0
-3.9536 3.9536 2.9243
3.9536 -3.9536 2.9243
3.9536 3.9536 -2.9243
Zr Re Pb
4 2 2
Cartesian
5.9304 1.5650 -0.7311
1.5650 1.9768 0.7311
-1.9768 2.3886 2.1932
2.3886 1.9768 3.6554
0.0000 0.0000 0.0000
0.0000 3.9536 1.4622
3.9536 0.0000 1.4622
0.0000 0.0000 2.9243

# 23
Zr2RePb, optimized geometry, DFT PBE; volume = 21.56 Å³ per atom; formation energy from the elements = 0.31 eV/atom; DFT total energy = -8.002 eV per atom
1.0
1.7062 -2.6191 0.0000
1.7062 2.6191 0.0000
0.0000 0.0000 9.6509
Zr Re Pb
2 1 1
Cartesian
0.0000 0.0000 0.0000
1.7062 0.0000 2.6180
0.0000 0.0000 4.6654
1.7062 0.0000 7.0326

# 24
Zr2RePb, optimized geometry, DFT PBE; volume = 21.83 Å³ per atom; formation energy from the elements = -0.19 eV/atom; DFT total energy = -8.502 eV per atom
1.0
3.2847 0.0000 0.0000
0.0000 3.2801 0.0000
-0.0566 0.0000 8.1056
Zr Re Pb
2 1 1
Cartesian
0.0065 0.0000 1.6114
3.2216 0.0000 6.4943
1.6424 1.6401 0.0000
1.6140 1.6401 4.0528

# 25
ZrRePb2, optimized geometry, DFT PBE; volume = 21.34 Å³ per atom; excess energy over the best structure of this formula in the dataset = 455.9 meV/atom; formation energy from the elements = 0.66 eV/atom; DFT total energy = -6.446 eV per atom
1.0
4.8626 0.0000 0.0000
0.0000 4.8626 0.0000
0.0000 0.0000 3.6108
Zr Re Pb
1 1 2
Cartesian
0.0000 0.0000 0.0000
2.4313 2.4313 0.0000
0.0000 2.4313 1.8054
2.4313 0.0000 1.8054

# 26
Zr2RePb, optimized geometry, DFT PBE; volume = 20.52 Å³ per atom; formation energy from the elements = 0.02 eV/atom; DFT total energy = -8.295 eV per atom
1.0
3.3361 -3.3456 0.0000
3.3361 3.3456 0.0000
0.0000 0.0000 3.6769
Zr Re Pb
2 1 1
Cartesian
1.6680 1.6728 0.0000
1.6680 -1.6728 0.0000
0.0000 0.0000 1.8384
3.3361 0.0000 1.8384

# 27
ZrRePb, optimized geometry, DFT PBE; volume = 20.28 Å³ per atom; excess energy over the best structure of this formula in the dataset = 75.3 meV/atom; formation energy from the elements = 0.36 eV/atom; DFT total energy = -7.876 eV per atom
1.0
4.8705 0.0000 0.0000
-2.4353 4.2180 0.0000
0.0000 0.0000 2.9617
Zr Re Pb
1 1 1
Cartesian
0.0000 0.0000 0.0000
0.0000 2.8120 1.7568
2.4353 1.4060 1.6134

# 28
ZrRePb, optimized geometry, DFT PBE; volume = 21.16 Å³ per atom; excess energy over the best structure of this formula in the dataset = 119.9 meV/atom; formation energy from the elements = 0.40 eV/atom; DFT total energy = -7.831 eV per atom
1.0
0.0000 2.6117 7.0572
1.7223 0.0000 7.0572
1.7223 2.6117 0.0000
Zr Re Pb
1 1 1
Cartesian
0.0000 0.0000 0.0000
1.7223 2.6117 5.0353
1.7223 2.6117 9.7129

# 29
ZrRe2Pb, optimized geometry, DFT PBE; volume = 18.35 Å³ per atom; formation energy from the elements = 0.50 eV/atom; DFT total energy = -8.793 eV per atom
1.0
4.5613 0.0000 0.0000
0.0000 4.5613 0.0000
0.0000 0.0000 3.5282
Zr Re Pb
1 2 1
Cartesian
0.0000 0.0000 0.0000
0.0000 2.2806 1.7641
2.2806 0.0000 1.7641
2.2806 2.2806 0.0000

# 30
ZrRePb2, optimized geometry, DFT PBE; volume = 21.34 Å³ per atom; excess energy over the best structure of this formula in the dataset = 354.9 meV/atom; formation energy from the elements = 0.56 eV/atom; DFT total energy = -6.547 eV per atom
1.0
3.4252 0.0000 0.0000
0.0000 3.4252 0.0000
0.0000 0.0000 7.2757
Zr Re Pb
1 1 2
Cartesian
0.0000 0.0000 0.0000
0.0000 0.0000 3.6379
1.7126 1.7126 1.9997
1.7126 1.7126 5.2761